16
Lattice="6.2260 0.0000 0.0000 3.1130 6.6386 0.0000 3.1130 0.0000 12.2929" Properties=species:S:1:pos:R:3 comment="PBE K2CuAsSe4, optimized geometry" e_form_raw_mev_per_atom=-511 magnetic_moment_mub_per_cell=0.00 sg="Fddd (70)" pbc="T T T"
K 3.1130 0.0000 7.7525
K 6.2260 0.0000 4.5404
K 7.7825 3.3193 10.6868
K 7.7825 3.3193 1.6060
Cu 7.7825 3.3193 6.1464
Cu 0.0000 0.0000 0.0000
As 4.6695 3.3193 6.1464
As 3.1130 0.0000 0.0000
Se 4.7860 5.2776 1.2825
Se 4.7860 1.3610 11.0104
Se 10.7789 5.2776 11.0104
Se 4.5529 1.3610 1.2825
Se 6.1094 4.6803 4.8639
Se 6.1094 1.9583 7.4289
Se 9.4555 4.6803 7.4289
Se 3.2295 1.9583 4.8639